16
Lattice="2.133 -8.261 0.000 2.133 8.261 0.000 0.000 0.000 8.936" Properties=species:S:1:pos:R:3 comment="SmZn2Ge GGA-PBE optimized geometry" n_ef_per_ev_atom=0.319 ef_kj_per_mol_fu=-179 sg="Cmcm, No. 63" de_polymorph_ev_per_atom=0.000 rho_g_cm3=7.46 m_tot_mub_per_cell=0.0 pbc="T T T"
Sm 0.000 0.000 0.000
Sm 0.000 0.000 4.468
Sm 2.133 4.968 6.702
Sm 2.133 -4.968 2.234
Zn 2.133 5.161 0.989
Zn 2.133 5.161 3.479
Zn 2.133 1.579 6.702
Zn 2.133 0.856 2.234
Zn 2.133 -0.856 6.702
Zn 2.133 -1.579 2.234
Zn 2.133 -5.161 5.457
Zn 2.133 -5.161 7.948
Ge 2.133 2.410 0.236
Ge 2.133 2.410 4.232
Ge 2.133 -2.410 4.705
Ge 2.133 -2.410 8.700

***

4
Lattice="0.000 3.518 3.518 3.518 0.000 3.518 3.518 3.518 0.000" Properties=species:S:1:pos:R:3 comment="EuTmPdPt GGA-PBE optimized geometry" n_ef_per_ev_atom=2.435 ef_kj_per_mol_fu=-355 sg="F-43m, No. 216" rho_g_cm3=11.87 m_tot_mub_per_cell=7.0 pbc="T T T"
Eu 0.000 0.000 0.000
Tm 3.518 3.518 3.518
Pd 1.759 1.759 1.759
Pt 5.277 5.277 5.277